(1)
Crystalline Ho2HfSe4 at its relaxed geometry, computed with PBE-GGA.

Properties
- Uncorrected energy: -44.07 eV per cell
- Uncorrected formation energy: -1575 meV/atom
- M_tot: 0.00 μB per formula unit
- SG: C2/m, No. 12

abc: 3.9904 7.0750 7.5195
angles: 117.98 105.39 90.00
Fractional positions:
Hf  0.0000  0.0000  0.0000
Se  0.3780  0.7212  0.7561
Se  0.1140  0.7936  0.2281
Ho  0.7403  0.7536  0.4806
Se  0.8860  0.2064  0.7719
Ho  0.2597  0.2464  0.5194
Se  0.6220  0.2788  0.2439

(2)
Crystalline HoHf2Se at its relaxed geometry, computed with PBE-GGA.

Properties
- Uncorrected energy: -28.17 eV per cell
- Uncorrected formation energy: -50 meV/atom
- M_tot: 0.00 μB per formula unit
- SG: R-3m, No. 166

abc: 3.3029 3.3029 10.3600
angles: 80.83 80.83 60.00
Fractional positions:
Ho  0.0000  0.0000  0.0000
Se  0.5000  0.5000  0.5000
Hf  0.8974  0.8974  0.3077
Hf  0.1026  0.1026  0.6923

(3)
Crystalline Ho3HfTl4Se8 at its relaxed geometry, computed with PBE-GGA.

Properties
- Uncorrected energy: -80.99 eV per cell
- Uncorrected formation energy: -1247 meV/atom
- M_tot: 0.00 μB per formula unit
- SG: R-3m, No. 166

abc: 8.1254 9.2657 8.1242
angles: 116.00 120.01 90.00
Fractional positions:
Se  0.7487  0.6963  0.9726
Se  0.7761  0.3037  0.0274
Ho  0.5000  0.5000  0.5000
Se  0.2239  0.6963  0.9726
Ho  0.0000  0.5000  0.5000
Tl  0.0000  0.0000  0.0000
Se  0.2239  0.6963  0.4477
Se  0.2513  0.3037  0.0274
Ho  0.5000  0.5000  0.0000
Se  0.2655  0.2966  0.5310
Hf  0.0000  0.5000  0.0000
Tl  0.5000  0.0000  0.5000
Se  0.7345  0.7034  0.4690
Tl  0.5000  0.0000  0.0000
Tl  0.0000  0.0000  0.5000
Se  0.7761  0.3037  0.5523

(4)
Crystalline Ho3HfTl3Se8 at its relaxed geometry, computed with PBE-GGA.

Properties
- Uncorrected energy: -79.31 eV per cell
- Uncorrected formation energy: -1376 meV/atom
- M_tot: 0.00 μB per formula unit
- SG: R-3m, No. 166

abc: 8.1527 8.1528 9.1820
angles: 116.37 90.00 120.00
Fractional positions:
Hf  0.0000  0.0000  0.5000
Se  0.2653  0.5307  0.2963
Tl  0.5000  0.5000  0.0000
Ho  0.5000  0.5000  0.5000
Se  0.2241  0.4482  0.6966
Se  0.2241  0.9728  0.6966
Se  0.7759  0.0272  0.3034
Se  0.2513  0.0272  0.3034
Ho  0.0000  0.5000  0.5000
Se  0.7759  0.5518  0.3034
Se  0.7347  0.4693  0.7037
Tl  0.0000  0.0000  0.0000
Tl  0.0000  0.5000  0.0000
Se  0.7487  0.9728  0.6966
Ho  0.5000  0.0000  0.5000

(5)
Crystalline Ho2HfTl3Se6 at its relaxed geometry, computed with PBE-GGA.

Properties
- Uncorrected energy: -61.61 eV per cell
- Uncorrected formation energy: -1208 meV/atom
- M_tot: 0.00 μB per formula unit
- SG: C2/m, No. 12

abc: 6.9410 6.9410 8.5892
angles: 97.95 97.95 120.05
Fractional positions:
Tl  0.1686  0.8314  0.5000
Tl  0.5000  0.5000  0.5000
Hf  0.0000  0.0000  0.0000
Se  0.6178  0.9346  0.8084
Ho  0.6664  0.3336  0.0000
Se  0.7492  0.7492  0.1932
Se  0.9346  0.6178  0.8084
Tl  0.8314  0.1686  0.5000
Ho  0.3336  0.6664  0.0000
Se  0.0654  0.3822  0.1916
Se  0.2508  0.2508  0.8068
Se  0.3822  0.0654  0.1916

(6)
Crystalline Ho2HfTl2Se6 at its relaxed geometry, computed with PBE-GGA.

Properties
- Uncorrected energy: -59.85 eV per cell
- Uncorrected formation energy: -1373 meV/atom
- M_tot: 0.00 μB per formula unit
- SG: C2/m, No. 12

abc: 6.9868 6.9868 8.2211
angles: 98.45 98.45 119.79
Fractional positions:
Ho  0.6677  0.3323  0.5000
Se  0.2473  0.2473  0.3006
Se  0.3855  0.0701  0.6991
Se  0.0701  0.3855  0.6991
Hf  0.0000  0.0000  0.5000
Tl  0.1699  0.8301  0.0000
Se  0.7527  0.7527  0.6994
Ho  0.3323  0.6677  0.5000
Tl  0.8301  0.1699  0.0000
Se  0.9299  0.6145  0.3009
Se  0.6145  0.9299  0.3009

(7)
Crystalline HoHfSi at its relaxed geometry, computed with PBE-GGA.

Properties
- Uncorrected energy: -61.68 eV per cell
- Uncorrected formation energy: -202 meV/atom
- M_tot: 0.00 μB per formula unit
- SG: R3, No. 146

abc: 6.4623 6.4623 6.9770
angles: 62.41 62.41 60.00
Fractional positions:
Ho  0.6332  0.8569  0.2664
Ho  0.8569  0.2435  0.2664
Si  0.3150  0.3150  0.0551
Ho  0.2435  0.6332  0.2664
Si  0.6914  0.6914  0.9257
Hf  0.7395  0.3677  0.7644
Hf  0.1284  0.7395  0.7644
Hf  0.3677  0.1284  0.7644
Si  0.1732  0.1732  0.4804

(8)
Crystalline HoHf3Sn2 at its relaxed geometry, computed with PBE-GGA.

Properties
- Uncorrected energy: -88.41 eV per cell
- M_tot: 0.00 μB per formula unit
- SG: C2/m, No. 12
- Energy relative to the elements: -1.76 eV per formula unit

abc: 4.3211 9.6417 8.5895
angles: 122.17 90.00 102.95
Fractional positions:
Ho  0.1183  0.2365  0.0873
Hf  0.3827  0.7653  0.2604
Ho  0.8817  0.7635  0.9127
Hf  0.9392  0.8784  0.5600
Hf  0.0608  0.1216  0.4400
Sn  0.4835  0.9669  0.8205
Sn  0.7571  0.5142  0.2045
Hf  0.3075  0.6150  0.5039
Hf  0.6925  0.3850  0.4961
Hf  0.6173  0.2347  0.7396
Sn  0.2429  0.4858  0.7955
Sn  0.5165  0.0331  0.1795

What did the eighth record say?
Crystalline HoHf3Sn2 at its relaxed geometry, computed with PBE-GGA.

Properties
- Uncorrected energy: -88.41 eV per cell
- M_tot: 0.00 μB per formula unit
- SG: C2/m, No. 12
- Energy relative to the elements: -1.76 eV per formula unit

abc: 4.3211 9.6417 8.5895
angles: 122.17 90.00 102.95
Fractional positions:
Ho  0.1183  0.2365  0.0873
Hf  0.3827  0.7653  0.2604
Ho  0.8817  0.7635  0.9127
Hf  0.9392  0.8784  0.5600
Hf  0.0608  0.1216  0.4400
Sn  0.4835  0.9669  0.8205
Sn  0.7571  0.5142  0.2045
Hf  0.3075  0.6150  0.5039
Hf  0.6925  0.3850  0.4961
Hf  0.6173  0.2347  0.7396
Sn  0.2429  0.4858  0.7955
Sn  0.5165  0.0331  0.1795